Entry 1:
DFT (PBE) results for a geometry-optimized ScTlRuRh structure.

Unit cell a=4.600 b=4.600 c=4.600 alpha=60.00 beta=60.00 gamma=60.00
Atoms (fractional coordinates):
Sc  0.000  0.000  0.000
Tl  0.500  0.500  0.500
Ru  0.250  0.250  0.250
Rh  0.750  0.750  0.750

## Properties
formation energy from the elements = -114.4 kJ/mol of formula units
mass density = 10.94 Mg/m³
space-group type = No. 216

***

Entry 2:
DFT (PBE) results for a geometry-optimized YScRuRh structure.

Unit cell a=3.320 b=3.320 c=6.654 alpha=90.00 beta=90.00 gamma=90.00
Atoms (fractional coordinates):
Y  0.000  0.000  0.000
Sc  0.000  0.000  0.511
Ru  0.500  0.500  0.737
Rh  0.500  0.500  0.271

## Properties
formation energy from the elements = -263.0 kJ/mol of formula units
mass density = 7.65 Mg/m³
space-group type = No. 99

***

Entry 3:
DFT (PBE) results for a geometry-optimized RuRh2Se structure.

Unit cell a=3.833 b=3.833 c=3.990 alpha=90.00 beta=90.00 gamma=90.00
Atoms (fractional coordinates):
Ru  0.000  0.000  0.000
Rh  0.000  0.500  0.500
Rh  0.500  0.000  0.500
Se  0.500  0.500  0.000

## Properties
mass density = 10.93 Mg/m³
space-group type = No. 123
electronic total energy = -26.480 eV per cell

***

Entry 4:
DFT (PBE) results for a geometry-optimized RuRhSe2 structure.

Unit cell a=3.000 b=3.000 c=8.498 alpha=90.00 beta=90.00 gamma=120.85
Atoms (fractional coordinates):
Ru  0.000  0.000  0.000
Rh  0.000  0.000  0.500
Se  0.500  0.500  0.245
Se  0.500  0.500  0.755

## Properties
mass density = 9.15 Mg/m³
space-group type = No. 65
electronic total energy = -21.744 eV per cell

***

Entry 5:
DFT (PBE) results for a geometry-optimized RuRh2Se structure.

Unit cell a=4.630 b=4.630 c=2.811 alpha=90.00 beta=90.00 gamma=90.00
Atoms (fractional coordinates):
Ru  0.000  0.000  0.000
Rh  0.000  0.500  0.500
Rh  0.500  0.000  0.500
Se  0.500  0.500  0.000

## Properties
mass density = 10.64 Mg/m³
space-group type = No. 123
electronic total energy = -26.190 eV per cell

***

Entry 6:
DFT (PBE) results for a geometry-optimized Ru2RhSe structure.

Unit cell a=2.867 b=3.631 c=5.682 alpha=90.00 beta=90.00 gamma=90.00
Atoms (fractional coordinates):
Ru  0.000  0.000  0.240
Ru  0.000  0.000  0.760
Rh  0.500  0.500  0.000
Se  0.500  0.500  0.500

## Properties
mass density = 10.78 Mg/m³
space-group type = No. 47
electronic total energy = -27.987 eV per cell

***

Which value of mass density does entry 2 give?
7.65 Mg/m³

***

Which of these has the highest mass density?
ScTlRuRh